Entry from Alexandria: RbBe2Cu after structural relaxation (GGA-PBE).

Output
crystal system: tetragonal
ΔE to the lowest computed polymorph: 0.0000 eV/atom
DFT formation energy: 0.71 eV/atom

abc: 4.945 4.945 14.722
angles: 90.00 90.00 90.00
Space group I4_1/amd (No. 141, origin choice 2)
Unique sites:
Rb 0.000 0.250 0.375 [4 per cell]
Be 0.000 0.000 0.000 [8 per cell]
Cu 0.000 0.250 0.875 [4 per cell]

***

Entry from Alexandria: RbBeCuSe2 after structural relaxation (GGA-PBE).

Output
crystal system: orthorhombic

abc: 5.715 13.632 6.325
angles: 90.00 90.00 90.00
Space group Cmme (No. 67)
Unique sites:
Rb 0.000 0.250 0.246 [4 per cell]
Be 0.250 0.000 0.500 [4 per cell]
Cu 0.000 0.000 0.000 [4 per cell]
Se 0.000 0.094 0.697 [8 per cell]

***

Entry from Alexandria: RbBeCuSi2 after structural relaxation (GGA-PBE).

Output
crystal system: tetragonal

abc: 4.595 4.595 4.696
angles: 90.00 90.00 90.00
Space group P4/mmm (No. 123)
Unique sites:
Rb 0.000 0.000 0.000 [1 per cell]
Be 0.500 0.500 0.500 [1 per cell]
Cu 0.500 0.500 0.000 [1 per cell]
Si 0.000 0.500 0.500 [2 per cell]

***

Number 1: VASP energy -2.417 eV per atom, total moment 0.0 μB per formula unit. Number 2: VASP energy -3.868 eV per atom, total moment 0.0 μB per formula unit. Number 3: VASP energy -3.234 eV per atom, total moment 0.0 μB per formula unit.